DFT (PBE+U) results for a relaxed structure of SrCoGe4O12.

It has space group P4/mmm (No. 123), with a = 5.319 Å, b = 5.319 Å, c = 7.445 Å, α = 90.00°, β = 90.00° and γ = 90.00°. The asymmetric unit holds Sr at (0.000, 0.000, 0.000), Co at (0.500, 0.500, 0.500), Ge at (0.000, 0.500, 0.251), O at (0.000, 0.500, 0.000), O at (0.000, 0.500, 0.500) and O at (0.258, 0.258, 0.268).

Its calculated total energy is -104.592 eV for the cell shown.